Record 1
# CdNi2Pt3 (PBE, optimized geometry)
# calculated total energy: -5.24 eV per atom
# N(E_F): 6.93 states/eV per cell
data_CdNi2Pt3
_chemical_formula_sum 'Cd1 Ni2 Pt3'
_cell_length_a 2.819
_cell_length_b 2.819
_cell_length_c 11.154
_cell_angle_alpha 90.00
_cell_angle_beta 90.00
_cell_angle_gamma 90.00
_space_group_name_H-M_alt 'P 4/m m m'
_space_group_IT_number 123
_space_group_name_Hall '-P 4 2'
loop_
_atom_site_label
_atom_site_fract_x
_atom_site_fract_y
_atom_site_fract_z
Cd1 0.000 0.000 0.000
Ni1 0.000 0.000 0.346
Pt1 0.500 0.500 0.192
Pt2 0.500 0.500 0.500

=====

Record 2
# LiTc2Cl (PBE, optimized geometry)
# formation energy from raw total energies: 0.678 eV per atom
# N(E_F): 13.24 states/eV per cell
data_LiTc2Cl
_chemical_formula_sum 'Li4 Tc8 Cl4'
_cell_length_a 7.789
_cell_length_b 7.789
_cell_length_c 4.295
_cell_angle_alpha 90.00
_cell_angle_beta 90.00
_cell_angle_gamma 90.00
_space_group_name_H-M_alt 'I -4 2 d'
_space_group_IT_number 122
_space_group_name_Hall 'I -4 2bw'
loop_
_atom_site_label
_atom_site_fract_x
_atom_site_fract_y
_atom_site_fract_z
Li1 0.000 0.000 0.000
Tc1 0.175 0.750 0.625
Cl1 0.000 0.000 0.500

=====

Record 3
# TeMo2 (PBE, optimized geometry)
# formation energy from raw total energies: 0.449 eV per atom
# N(E_F): 3.79 states/eV per cell
data_TeMo2
_chemical_formula_sum 'Te2 Mo4'
_cell_length_a 7.690
_cell_length_b 4.751
_cell_length_c 3.130
_cell_angle_alpha 90.00
_cell_angle_beta 107.15
_cell_angle_gamma 90.00
_space_group_name_H-M_alt 'C 1 2/m 1'
_space_group_IT_number 12
loop_
_space_group_symop_operation_xyz
'x,y,z'
'-x,-y,-z'
'-x,y,-z'
'x,-y,z'
'x+1/2,y+1/2,z'
'-x+1/2,-y+1/2,-z'
'-x+1/2,y+1/2,-z'
'x+1/2,-y+1/2,z'
loop_
_atom_site_label
_atom_site_fract_x
_atom_site_fract_y
_atom_site_fract_z
Te1 0.000 0.000 0.000
Mo1 0.180 0.500 0.225

=====

Record 4
# HfZr3Al (PBE, optimized geometry)
# calculated total energy: -7.17 eV per atom
# N(E_F): 8.22 states/eV per cell
data_HfZr3Al
_chemical_formula_sum 'Hf1 Zr3 Al1'
_cell_length_a 5.027
_cell_length_b 5.027
_cell_length_c 5.027
_cell_angle_alpha 90.00
_cell_angle_beta 90.00
_cell_angle_gamma 90.00
_space_group_name_H-M_alt 'P m -3 m'
_space_group_IT_number 221
_space_group_name_Hall '-P 4 2 3'
loop_
_atom_site_label
_atom_site_fract_x
_atom_site_fract_y
_atom_site_fract_z
Hf1 0.000 0.000 0.000
Zr1 0.000 0.500 0.500
Al1 0.500 0.500 0.500

=====

Record 5
# Hg2PtCl (PBE, optimized geometry)
# formation energy from raw total energies: 0.340 eV per atom
# N(E_F): 2.71 states/eV per cell
data_Hg2PtCl
_chemical_formula_sum 'Hg2 Pt1 Cl1'
_cell_length_a 3.097
_cell_length_b 4.857
_cell_length_c 5.511
_cell_angle_alpha 90.00
_cell_angle_beta 90.00
_cell_angle_gamma 90.00
_space_group_name_H-M_alt 'P m m m'
_space_group_IT_number 47
loop_
_space_group_symop_operation_xyz
'x,y,z'
'-x,-y,-z'
'-x,-y,z'
'x,y,-z'
'x,-y,-z'
'-x,y,z'
'-x,y,-z'
'x,-y,z'
loop_
_atom_site_label
_atom_site_fract_x
_atom_site_fract_y
_atom_site_fract_z
Hg1 0.000 0.000 0.000
Hg2 0.500 0.500 0.000
Pt1 0.000 0.500 0.500
Cl1 0.500 0.000 0.500

=====

Record 6
# CsTm2Te3 (PBE, optimized geometry)
# formation energy from raw total energies: -1.165 eV per atom
# N(E_F): 4.77 states/eV per cell
data_CsTm2Te3
_chemical_formula_sum 'Cs2 Tm4 Te6'
_cell_length_a 8.162
_cell_length_b 4.393
_cell_length_c 11.989
_cell_angle_alpha 90.00
_cell_angle_beta 103.83
_cell_angle_gamma 90.00
_space_group_name_H-M_alt 'P 1 21/m 1'
_space_group_IT_number 11
loop_
_space_group_symop_operation_xyz
'x,y,z'
'-x,-y,-z'
'-x,y+1/2,-z'
'x,-y+1/2,z'
loop_
_atom_site_label
_atom_site_fract_x
_atom_site_fract_y
_atom_site_fract_z
Cs1 0.031 0.250 0.342
Tm1 0.261 0.250 0.991
Tm2 0.498 0.750 0.312
Te1 0.147 0.750 0.132
Te2 0.331 0.750 0.527
Te3 0.390 0.750 0.848

=====

Record 7
# Rb3Pt4Pb2 (PBE, optimized geometry)
# calculated total energy: -4.00 eV per atom
# N(E_F): 6.17 states/eV per cell
data_Rb3Pt4Pb2
_chemical_formula_sum 'Rb6 Pt8 Pb4'
_cell_length_a 12.802
_cell_length_b 4.658
_cell_length_c 9.710
_cell_angle_alpha 90.00
_cell_angle_beta 109.68
_cell_angle_gamma 90.00
_space_group_name_H-M_alt 'C 1 2/m 1'
_space_group_IT_number 12
loop_
_space_group_symop_operation_xyz
'x,y,z'
'-x,-y,-z'
'-x,y,-z'
'x,-y,z'
'x+1/2,y+1/2,z'
'-x+1/2,-y+1/2,-z'
'-x+1/2,y+1/2,-z'
'x+1/2,-y+1/2,z'
loop_
_atom_site_label
_atom_site_fract_x
_atom_site_fract_y
_atom_site_fract_z
Rb1 0.000 0.000 0.000
Rb2 0.126 0.500 0.366
Pt1 0.075 0.000 0.629
Pt2 0.240 0.000 0.923
Pb1 0.185 0.500 0.759

=====

Record 8
# CaPdBrCl2 (PBE, optimized geometry)
# formation energy from raw total energies: -0.850 eV per atom
# N(E_F): 6.63 states/eV per cell
data_CaPdBrCl2
_chemical_formula_sum 'Ca1 Pd1 Br1 Cl2'
_cell_length_a 5.207
_cell_length_b 5.207
_cell_length_c 5.818
_cell_angle_alpha 90.00
_cell_angle_beta 90.00
_cell_angle_gamma 90.00
_space_group_name_H-M_alt 'P 4/m m m'
_space_group_IT_number 123
_space_group_name_Hall '-P 4 2'
loop_
_atom_site_label
_atom_site_fract_x
_atom_site_fract_y
_atom_site_fract_z
Ca1 0.000 0.000 0.000
Pd1 0.500 0.500 0.500
Br1 0.000 0.000 0.500
Cl1 0.000 0.500 0.000

=====

Record 9
# CdWCBr2 (PBE, optimized geometry)
# formation energy from raw total energies: 1.923 eV per atom
# N(E_F): 2.73 states/eV per cell
data_CdWCBr2
_chemical_formula_sum 'Cd1 W1 C1 Br2'
_cell_length_a 5.060
_cell_length_b 5.060
_cell_length_c 4.325
_cell_angle_alpha 90.00
_cell_angle_beta 90.00
_cell_angle_gamma 90.00
_space_group_name_H-M_alt 'P 4/m m m'
_space_group_IT_number 123
_space_group_name_Hall '-P 4 2'
loop_
_atom_site_label
_atom_site_fract_x
_atom_site_fract_y
_atom_site_fract_z
Cd1 0.000 0.000 0.000
W1 0.500 0.500 0.000
C1 0.000 0.000 0.500
Br1 0.000 0.500 0.500

=====

Record 10
# NaCuW (PBE, optimized geometry)
# calculated total energy: -5.27 eV per atom
# N(E_F): 6.51 states/eV per cell
data_NaCuW
_chemical_formula_sum 'Na4 Cu4 W4'
_cell_length_a 11.252
_cell_length_b 4.709
_cell_length_c 4.659
_cell_angle_alpha 90.00
_cell_angle_beta 90.00
_cell_angle_gamma 90.00
_space_group_name_H-M_alt 'P n m a'
_space_group_IT_number 62
loop_
_space_group_symop_operation_xyz
'x,y,z'
'-x,-y,-z'
'-x+1/2,-y,z+1/2'
'x+1/2,y,-z+1/2'
'x+1/2,-y+1/2,-z+1/2'
'-x+1/2,y+1/2,z+1/2'
'-x,y+1/2,-z'
'x,-y+1/2,z'
loop_
_atom_site_label
_atom_site_fract_x
_atom_site_fract_y
_atom_site_fract_z
Na1 0.242 0.250 0.002
Cu1 0.000 0.000 0.500
W1 0.038 0.750 0.000

=====

Record 11
# Zr2TaOs (PBE, optimized geometry)
# calculated total energy: -10.04 eV per atom
# N(E_F): 7.10 states/eV per cell
data_Zr2TaOs
_chemical_formula_sum 'Zr4 Ta2 Os2'
_cell_length_a 3.457
_cell_length_b 4.872
_cell_length_c 9.069
_cell_angle_alpha 90.00
_cell_angle_beta 90.00
_cell_angle_gamma 90.00
_space_group_name_H-M_alt 'C m m m'
_space_group_IT_number 65
_space_group_name_Hall '-C 2 2'
loop_
_atom_site_label
_atom_site_fract_x
_atom_site_fract_y
_atom_site_fract_z
Zr1 0.000 0.000 0.231
Ta1 0.000 0.500 0.500
Os1 0.000 0.500 0.000

=====

Record 12
# LaNd3Ga4 (PBE, optimized geometry)
# calculated total energy: -4.34 eV per atom
# N(E_F): 12.98 states/eV per cell
data_LaNd3Ga4
_chemical_formula_sum 'La2 Nd6 Ga8'
_cell_length_a 3.711
_cell_length_b 7.029
_cell_length_c 17.168
_cell_angle_alpha 90.00
_cell_angle_beta 90.00
_cell_angle_gamma 90.00
_space_group_name_H-M_alt 'I m m m'
_space_group_IT_number 71
_space_group_name_Hall '-I 2 2'
loop_
_atom_site_label
_atom_site_fract_x
_atom_site_fract_y
_atom_site_fract_z
La1 0.000 0.000 0.000
Nd1 0.000 0.000 0.500
Nd2 0.000 0.500 0.299
Ga1 0.000 0.314 0.131